# 1
Entry from Alexandria via LeMat-Bulk: Be2CuAs after structural relaxation (PBE).

a b c (Å): 3.174 3.257 4.667
angles (deg): 90.00 90.00 90.00
Fractional positions:
Be (0.000, 0.000, 0.996)
Be (0.000, 0.000, 0.504)
As (0.500, 0.500, 0.750)
Cu (0.500, 0.500, 0.250)

Output
Formation enthalpy at 0 K   5.50 kcal/mol of atoms
Symmetry   Pmmm
Density   5.387 g/cm3
DFT total energy   -15.2 eV/cell


# 2
Entry from Alexandria via LeMat-Bulk: TlCd2Cu after structural relaxation (PBE).

a b c (Å): 4.237 4.237 10.713
angles (deg): 78.59 78.59 90.00
Fractional positions:
Tl (0.000, 0.000, 0.000)
Tl (0.750, 0.250, 0.500)
Cu (0.500, 0.500, 0.000)
Cu (0.250, 0.750, 0.500)
Cd (0.605, 0.125, 0.250)
Cd (0.145, 0.625, 0.250)
Cd (0.375, 0.395, 0.750)
Cd (0.875, 0.855, 0.750)

Output
Formation enthalpy at 0 K   5.65 kcal/mol of atoms
E above lowest polymorph   158 meV per atom
Symmetry   I-42d
Density   8.862 g/cm3
DFT total energy   -14.6 eV/cell


# 3
Entry from Alexandria via LeMat-Bulk: Tb15NdHo4 after structural relaxation (PBE).

a b c (Å): 5.032 5.032 25.186
angles (deg): 90.00 90.00 90.00
Fractional positions:
Tb (0.500, 0.500, 0.000)
Tb (0.500, 0.500, 0.202)
Tb (0.500, 0.500, 0.400)
Tb (0.500, 0.500, 0.600)
Tb (0.500, 0.500, 0.798)
Tb (0.500, 0.000, 0.102)
Tb (0.500, 0.000, 0.301)
Tb (0.500, 0.000, 0.500)
Tb (0.500, 0.000, 0.699)
Tb (0.500, 0.000, 0.898)
Tb (0.000, 0.500, 0.102)
Tb (0.000, 0.500, 0.301)
Tb (0.000, 0.500, 0.500)
Tb (0.000, 0.500, 0.699)
Tb (0.000, 0.500, 0.898)
Nd (0.000, 0.000, 0.000)
Ho (0.000, 0.000, 0.201)
Ho (0.000, 0.000, 0.400)
Ho (0.000, 0.000, 0.600)
Ho (0.000, 0.000, 0.799)

Output
Formation enthalpy at 0 K   0.40 kcal/mol of atoms
Symmetry   P4/mmm
Density   8.300 g/cm3
DFT total energy   -92.2 eV/cell


# 4
Entry from Alexandria via LeMat-Bulk: BaSrCdS3 after structural relaxation (PBE).

a b c (Å): 4.282 7.381 11.448
angles (deg): 90.00 90.00 106.86
Fractional positions:
Ba (0.756, 0.512, 0.750)
Ba (0.244, 0.488, 0.250)
Sr (0.000, 0.000, 0.500)
Sr (0.000, 0.000, 0.000)
Cd (0.477, 0.953, 0.750)
Cd (0.523, 0.047, 0.250)
S (0.635, 0.271, 0.422)
S (0.365, 0.729, 0.578)
S (0.365, 0.729, 0.922)
S (0.635, 0.271, 0.078)
S (0.083, 0.166, 0.750)
S (0.917, 0.834, 0.250)

Output
Formation energy from raw total energies   -1.5782 eV/atom
Symmetry   Cmcm
Density   4.158 g/cm3
DFT total energy   -52.7 eV/cell


# 5
Entry from Alexandria via LeMat-Bulk: La2Ga10Ni after structural relaxation (PBE).

a b c (Å): 13.554 13.554 13.554
angles (deg): 161.41 161.41 26.41
Fractional positions:
Ni (0.500, 0.500, 0.000)
Ga (0.750, 0.250, 0.500)
Ga (0.250, 0.750, 0.500)
Ga (0.549, 0.049, 0.500)
Ga (0.049, 0.549, 0.500)
Ga (0.451, 0.951, 0.500)
Ga (0.951, 0.451, 0.500)
Ga (0.897, 0.897, 0.000)
Ga (0.103, 0.103, 0.000)
Ga (0.804, 0.804, 0.000)
Ga (0.196, 0.196, 0.000)
La (0.643, 0.643, 0.000)
La (0.357, 0.357, 0.000)

Output
Formation enthalpy at 0 K   -11.40 kcal/mol of atoms
Symmetry   I4/mmm
Density   6.783 g/cm3
DFT total energy   -52.3 eV/cell


# 6
Entry from Alexandria via LeMat-Bulk: PaCrTe4 after structural relaxation (PBE).

a b c (Å): 4.176 8.244 6.820
angles (deg): 114.10 90.00 104.67
Each line ends with the local moment (μB).
Fractional positions:
Pa (0.000, 0.000, 0.000)  0.21
Cr (0.500, 0.000, 0.500)  3.00
Te (0.624, 0.248, 0.306)  -0.05
Te (0.887, 0.773, 0.251)  -0.11
Te (0.376, 0.752, 0.694)  -0.05
Te (0.113, 0.227, 0.749)  -0.11

Output
E above lowest polymorph   0 meV per atom
Formation energy from raw total energies   -0.5224 eV/atom
Symmetry   C2/m
Density   6.399 g/cm3
DFT total energy   -34.8 eV/cell


# 7
Entry from Alexandria via LeMat-Bulk: NaCoSn2Cl after structural relaxation (PBE).

a b c (Å): 4.758 6.274 4.758
angles (deg): 90.00 90.00 90.00
Each line ends with the local moment (μB).
Fractional positions:
Na (0.500, 0.500, 0.500)  0.00
Co (0.000, 0.000, 0.000)  0.69
Sn (0.000, 0.000, 0.500)  -0.01
Sn (0.500, 0.000, 0.000)  -0.03
Cl (0.000, 0.500, 0.000)  0.07

Output
Formation energy from raw total energies   -0.1190 eV/atom
Symmetry   P4/mmm
Density   4.148 g/cm3
DFT total energy   -18.9 eV/cell


# 8
Entry from Alexandria via LeMat-Bulk: MgSbAs2 after structural relaxation (PBE).

a b c (Å): 5.917 5.917 5.917
angles (deg): 142.45 134.77 60.20
Fractional positions:
As (0.968, 0.968, 0.000)
As (0.532, 0.532, 0.000)
Mg (0.250, 0.750, 0.500)
Sb (0.750, 0.250, 0.500)

Output
E above lowest polymorph   265 meV per atom
Formation energy from raw total energies   0.0947 eV/atom
Symmetry   Immm
Density   5.536 g/cm3
DFT total energy   -14.6 eV/cell